Density functional theory data (PBE-GGA) for MgTlAgS2 after structural relaxation.

a = 7.4087 Å, b = 7.4087 Å, c = 6.1238 Å
α = 90.00°, β = 90.00°, γ = 130.81°
Fractional positions:
Mg 0.2500 0.2500 0.0000
Mg 0.7500 0.7500 0.0000
Tl 0.2500 0.7500 0.7637
Tl 0.7500 0.2500 0.2363
Ag 0.0000 0.0000 0.5000
Ag 0.5000 0.5000 0.5000
S 0.1122 0.8878 0.1973
S 0.3878 0.6122 0.1973
S 0.6122 0.3878 0.8027
S 0.8878 0.1122 0.8027

Calculated values
Magnetization: 0.00 Bohr magnetons per cell
Formation energy from raw total energies: -0.65 eV/atom
Mass density: 5.23 g/cm³

***

Density functional theory data (PBE-GGA) for Mg2TlAgS4 after structural relaxation.

a = 7.0675 Å, b = 7.0672 Å, c = 5.8690 Å
α = 65.47°, β = 65.46°, γ = 49.07°
Fractional positions:
Mg 0.0000 0.0000 0.5000
Mg 0.5000 0.5000 0.0000
Tl 0.2502 0.2502 0.7498
Ag 0.7496 0.7496 0.2504
S 0.1324 0.6332 0.3668
S 0.3672 0.8671 0.6328
S 0.6332 0.1324 0.8676
S 0.8671 0.3672 0.1329

Calculated values
Magnetization: 0.00 Bohr magnetons per cell
Formation energy from raw total energies: -0.77 eV/atom
Mass density: 4.12 g/cm³

***

Density functional theory data (PBE-GGA) for MgZn2AgS4 after structural relaxation.

a = 7.0100 Å, b = 7.0100 Å, c = 7.0100 Å
α = 134.33°, β = 134.33°, γ = 66.57°
Fractional positions:
Mg 0.0000 0.0000 0.0000
Zn 0.2500 0.7500 0.5000
Zn 0.7500 0.2500 0.5000
Ag 0.5000 0.5000 0.0000
S 0.1106 0.6200 0.0000
S 0.3800 0.3800 0.4906
S 0.6200 0.1106 0.0000
S 0.8894 0.8894 0.5094

Calculated values
Fermi-level density of states: 0.841 states/eV per atom
Magnetization: 0.00 Bohr magnetons per cell
Formation energy from raw total energies: -0.66 eV/atom
Mass density: 3.75 g/cm³

***

Density functional theory data (PBE-GGA) for MgAg2Sb after structural relaxation.

a = 9.3917 Å, b = 9.3917 Å, c = 9.3917 Å
α = 20.07°, β = 20.07°, γ = 20.07°
Fractional positions:
Mg 0.0000 0.0000 0.0000
Ag 0.2538 0.2538 0.2538
Ag 0.7462 0.7462 0.7462
Sb 0.5000 0.5000 0.5000

Calculated values
Fermi-level density of states: 0.746 states/eV per atom
Magnetization: 0.00 Bohr magnetons per cell
Formation energy from raw total energies: 0.05 eV/atom
Mass density: 7.04 g/cm³

***

Density functional theory data (PBE-GGA) for MgAg6Sb after structural relaxation.

a = 6.0556 Å, b = 6.0556 Å, c = 4.1285 Å
α = 90.00°, β = 90.00°, γ = 90.00°
Fractional positions:
Mg 0.0000 0.0000 0.0000
Ag 0.0000 0.5000 0.0000
Ag 0.2420 0.2420 0.5000
Ag 0.2420 0.7580 0.5000
Ag 0.5000 0.0000 0.0000
Ag 0.7580 0.2420 0.5000
Ag 0.7580 0.7580 0.5000
Sb 0.5000 0.5000 0.0000

Calculated values
E above lowest polymorph: 0 meV/atom
Fermi-level density of states: 0.410 states/eV per atom
Magnetization: 0.00 Bohr magnetons per cell
Formation energy from raw total energies: -0.04 eV/atom
Mass density: 8.70 g/cm³

***

Density functional theory data (PBE-GGA) for Mg4Ag15Sb after structural relaxation.

a = 4.1959 Å, b = 4.1959 Å, c = 20.8096 Å
α = 90.00°, β = 90.00°, γ = 90.00°
Fractional positions:
Mg 0.0000 0.0000 0.0983
Mg 0.0000 0.0000 0.2969
Mg 0.0000 0.0000 0.7031
Mg 0.0000 0.0000 0.9017
Ag 0.0000 0.5000 0.0000
Ag 0.0000 0.5000 0.1977
Ag 0.0000 0.5000 0.3949
Ag 0.0000 0.5000 0.6051
Ag 0.0000 0.5000 0.8023
Ag 0.5000 0.0000 0.0000
Ag 0.5000 0.0000 0.1977
Ag 0.5000 0.0000 0.3949
Ag 0.5000 0.0000 0.6051
Ag 0.5000 0.0000 0.8023
Ag 0.5000 0.5000 0.0989
Ag 0.5000 0.5000 0.2967
Ag 0.5000 0.5000 0.5000
Ag 0.5000 0.5000 0.7033
Ag 0.5000 0.5000 0.9011
Sb 0.0000 0.0000 0.5000

Calculated values
Fermi-level density of states: 0.261 states/eV per atom
Magnetization: 0.00 Bohr magnetons per cell
Formation energy from raw total energies: -0.11 eV/atom
Mass density: 8.33 g/cm³